[1]
A relaxed BaNp2N3 crystal, computed with PBE-GGA.

Cell: 4.200 4.223 12.786 Å, 90.00 90.00 90.00°
Fractional coordinates of all 12 atoms:
1 Ba 0.000 0.000 0.000
2 Ba 0.500 0.500 0.500
3 Np 0.000 0.000 0.323
4 Np 0.000 0.000 0.677
5 Np 0.500 0.500 0.177
6 Np 0.500 0.500 0.823
7 N 0.000 0.000 0.500
8 N 0.000 0.500 0.251
9 N 0.000 0.500 0.749
10 N 0.500 0.000 0.249
11 N 0.500 0.000 0.751
12 N 0.500 0.500 0.000

Computed properties:
SG = Immm (71)
energy above the lowest structure with this stoichiometry = 0 kJ/mol of formula units
formation energy from raw total energies = -89.5 kJ per mole of atoms

=====

[2]
A relaxed BaAs2Pt crystal, computed with PBE-GGA.

Cell: 5.079 5.079 17.379 Å, 90.00 90.00 90.00°
Fractional coordinates of all 16 atoms:
1 Ba 0.000 0.000 0.000
2 Ba 0.000 0.500 0.250
3 Ba 0.500 0.000 0.750
4 Ba 0.500 0.500 0.500
5 As 0.076 0.250 0.625
6 As 0.250 0.576 0.875
7 As 0.250 0.924 0.375
8 As 0.424 0.250 0.125
9 As 0.576 0.750 0.125
10 As 0.750 0.076 0.375
11 As 0.750 0.424 0.875
12 As 0.924 0.750 0.625
13 Pt 0.000 0.000 0.500
14 Pt 0.000 0.500 0.750
15 Pt 0.500 0.000 0.250
16 Pt 0.500 0.500 0.000

Computed properties:
SG = I-42d (122)
calculated formation energy = -0.5978 eV per atom

=====

[3]
A relaxed HfAlSn2 crystal, computed with PBE-GGA.

Cell: 7.952 7.952 5.936 Å, 90.00 90.00 90.00°
Fractional coordinates of all 16 atoms:
1 Hf 0.000 0.000 0.000
2 Hf 0.000 0.500 0.250
3 Hf 0.500 0.000 0.750
4 Hf 0.500 0.500 0.500
5 Al 0.000 0.000 0.500
6 Al 0.000 0.500 0.750
7 Al 0.500 0.000 0.250
8 Al 0.500 0.500 0.000
9 Sn 0.233 0.250 0.625
10 Sn 0.250 0.733 0.875
11 Sn 0.250 0.767 0.375
12 Sn 0.267 0.250 0.125
13 Sn 0.733 0.750 0.125
14 Sn 0.750 0.233 0.375
15 Sn 0.750 0.267 0.875
16 Sn 0.767 0.750 0.625

Computed properties:
SG = I-42d (122)
calculated formation energy = 0.1598 eV per atom

=====

[4]
A relaxed ZnHg2As2 crystal, computed with PBE-GGA.

Cell: 5.652 5.652 9.227 Å, 90.00 90.00 90.00°
Fractional coordinates of all 10 atoms:
1 Zn 0.000 0.000 0.000
2 Zn 0.500 0.500 0.500
3 Hg 0.000 0.500 0.250
4 Hg 0.000 0.500 0.750
5 Hg 0.500 0.000 0.250
6 Hg 0.500 0.000 0.750
7 As 0.000 0.000 0.257
8 As 0.000 0.000 0.743
9 As 0.500 0.500 0.243
10 As 0.500 0.500 0.757

Computed properties:
SG = I4/mmm (139)
calculated formation energy = 0.1589 eV per atom
energy above the lowest structure with this stoichiometry = 40 kJ/mol of formula units